# Y2SnPb

A relaxed Y2SnPb crystal (PBE, Alexandria via LeMat-Bulk).

a = 3.9971 Å, b = 3.9971 Å, c = 25.9946 Å
α = 90.00°, β = 90.00°, γ = 120.00°
Space group R-3m (No. 166, hexagonal axes)
Symmetry-distinct sites (fractional):
Y: 0.0000 0.0000 0.2473 (multiplicity 6)
Sn: 0.0000 0.0000 0.5000 (multiplicity 3)
Pb: 0.0000 0.0000 0.0000 (multiplicity 3)

## Properties
The value obtained for the total magnetization is 0.00 μB per cell. As for the total energy: -67.673 eV/cell. For the excess energy over the best structure of this formula in the dataset, the calculation gives 157.2 meV per atom. The volume comes out at 29.97 A^3/atom. The formation energy is -185 kJ/mol of formula units.